Entry 1:
# PBE Rb2Ge2SbAu6, optimized geometry
data_Rb2Ge2SbAu6
_chemical_formula_sum 'Rb6 Ge6 Sb3 Au18'
_space_group_name_H-M_alt 'R -3 m'
_space_group_IT_number 166
_space_group_name_Hall '-R 3 2"'
_cell_length_a 6.8915
_cell_length_b 6.8915
_cell_length_c 26.5583
_cell_angle_alpha 90.00
_cell_angle_beta 90.00
_cell_angle_gamma 120.00
loop_
_atom_site_label
_atom_site_type_symbol
_atom_site_fract_x
_atom_site_fract_y
_atom_site_fract_z
Rb1 Rb 0.0000 0.0000 0.2096
Ge1 Ge 0.0000 0.0000 0.4531
Sb1 Sb 0.0000 0.0000 0.0000
Au1 Au 0.0386 0.5193 0.7458
# - E: -3.309 eV per atom
# - Formation energy without anion corrections: -140 kJ/mol of formula units

***

Entry 2:
# PBE PuPa2CuN4, optimized geometry
data_PuPa2CuN4
_chemical_formula_sum 'Pu4 Pa8 Cu4 N16'
_space_group_name_H-M_alt 'C m c m'
_space_group_IT_number 63
_space_group_name_Hall '-C 2c 2'
_cell_length_a 3.534
_cell_length_b 11.482
_cell_length_c 11.507
_cell_angle_alpha 90.00
_cell_angle_beta 90.00
_cell_angle_gamma 90.00
loop_
_atom_site_label
_atom_site_type_symbol
_atom_site_fract_x
_atom_site_fract_y
_atom_site_fract_z
Pu1 Pu 0.000 0.099 0.250
Pa1 Pa 0.000 0.371 0.059
Cu1 Cu 0.000 0.171 0.750
N1 N 0.000 0.000 0.000
N2 N 0.000 0.266 0.607
N3 N 0.000 0.443 0.250
# - E: -9.971 eV per atom
# - Formation energy without anion corrections: -873 kJ/mol of formula units

***

Entry 3:
# PBE KAlTl, optimized geometry
data_KAlTl
_chemical_formula_sum 'K2 Al2 Tl2'
_space_group_name_H-M_alt 'P 1 21/m 1'
_space_group_IT_number 11
_cell_length_a 4.967
_cell_length_b 4.547
_cell_length_c 8.622
_cell_angle_alpha 90.00
_cell_angle_beta 94.62
_cell_angle_gamma 90.00
loop_
_space_group_symop_operation_xyz
'x,y,z'
'-x,-y,-z'
'-x,y+1/2,-z'
'x,-y+1/2,z'
loop_
_atom_site_label
_atom_site_type_symbol
_atom_site_fract_x
_atom_site_fract_y
_atom_site_fract_z
K1 K 0.235 0.250 0.348
Al1 Al 0.162 0.750 0.010
Tl1 Tl 0.318 0.250 0.810
# - E: -2.387 eV per atom
# - E_form: 0.015 eV/atom
# - Relative energy among the computed polymorphs: 0.0 meV/atom